(1)
Below is NdAsN2O after structural relaxation, with properties calculated at the PBE level.

* electronic total energy: -34.958 eV/f.u.

POSCAR file:
```
NdAsN2O
1.0
7.953 0.000 0.000
0.000 7.487 0.000
-7.769 0.000 7.954
Nd As N O
8 8 16 8
Direct
0.000 0.249 0.009 Nd
0.000 0.251 0.509 Nd
0.000 0.749 0.491 Nd
0.000 0.751 0.991 Nd
0.495 0.235 0.007 Nd
0.495 0.265 0.507 Nd
0.505 0.735 0.493 Nd
0.505 0.765 0.993 Nd
0.039 0.503 0.760 As
0.039 0.997 0.260 As
0.478 0.002 0.721 As
0.478 0.498 0.221 As
0.522 0.502 0.779 As
0.522 0.998 0.279 As
0.961 0.003 0.740 As
0.961 0.497 0.240 As
0.079 0.745 0.307 N
0.079 0.755 0.807 N
0.221 0.046 0.492 N
0.221 0.454 0.992 N
0.273 0.049 0.264 N
0.273 0.451 0.764 N
0.424 0.750 0.229 N
0.424 0.750 0.729 N
0.576 0.250 0.271 N
0.576 0.250 0.771 N
0.727 0.549 0.236 N
0.727 0.951 0.736 N
0.779 0.546 0.008 N
0.779 0.954 0.508 N
0.921 0.245 0.193 N
0.921 0.255 0.693 N
0.210 0.041 0.975 O
0.210 0.459 0.475 O
0.294 0.037 0.771 O
0.294 0.463 0.271 O
0.706 0.537 0.729 O
0.706 0.963 0.229 O
0.790 0.541 0.525 O
0.790 0.959 0.025 O
```

***

(2)
Below is SmTmCu2Si2 after structural relaxation, with properties calculated at the PBE level.

* electronic total energy: -31.422 eV/f.u.

POSCAR file:
```
SmTmCu2Si2
1.0
4.154 0.000 0.000
-2.077 3.598 0.000
0.000 0.000 7.573
Sm Tm Cu Si
1 1 2 2
Direct
0.000 0.000 0.000 Sm
0.000 0.000 0.500 Tm
0.333 0.667 0.265 Cu
0.667 0.333 0.735 Cu
0.333 0.667 0.739 Si
0.667 0.333 0.261 Si
```

***

(3)
Below is HfCuTcTe after structural relaxation, with properties calculated at the PBE level.

* electronic total energy: -25.839 eV/f.u.

POSCAR file:
```
HfCuTcTe
1.0
0.000 3.301 3.301
3.301 0.000 3.301
3.301 3.301 0.000
Hf Cu Tc Te
1 1 1 1
Direct
0.000 0.000 0.000 Hf
0.500 0.500 0.500 Cu
0.250 0.250 0.250 Tc
0.750 0.750 0.750 Te
```

***

(4)
Below is SmNiMo after structural relaxation, with properties calculated at the PBE level.

* energy of formation from the pure elements: 1.300 eV per atom

POSCAR file:
```
SmNiMo
1.0
0.000 3.199 3.199
3.199 0.000 3.199
3.199 3.199 0.000
Sm Ni Mo
1 1 1
Direct
0.000 0.000 0.000 Sm
0.250 0.250 0.250 Ni
0.750 0.750 0.750 Mo
```

***

(5)
Below is Pr3Cu4Si2Ge2 after structural relaxation, with properties calculated at the PBE level.

* electronic total energy: -56.005 eV/f.u.

POSCAR file:
```
Pr3Cu4Si2Ge2
1.0
-2.095 2.104 12.087
2.095 -2.104 12.087
2.095 2.104 -12.087
Pr Cu Si Ge
3 4 2 2
Direct
0.000 0.000 0.000 Pr
0.347 0.847 0.500 Pr
0.653 0.153 0.500 Pr
0.100 0.600 0.500 Cu
0.250 0.250 0.000 Cu
0.750 0.750 0.000 Cu
0.900 0.400 0.500 Cu
0.197 0.697 0.500 Si
0.803 0.303 0.500 Si
0.448 0.448 0.000 Ge
0.552 0.552 0.000 Ge
```

***

(6)
Below is ScZnFeSb after structural relaxation, with properties calculated at the PBE level.

* electronic total energy: -20.157 eV/f.u.

POSCAR file:
```
ScZnFeSb
1.0
0.000 3.195 3.195
3.195 0.000 3.195
3.195 3.195 0.000
Sc Zn Fe Sb
1 1 1 1
Direct
0.000 0.000 0.000 Sc
0.250 0.250 0.250 Zn
0.750 0.750 0.750 Fe
0.500 0.500 0.500 Sb
```